Record 1
A plane-wave DFT calculation with GGA-PBE was carried out for a relaxed structure of Al2MoRu.

abc: 6.8439 6.8439 5.5459
angles: 51.90 51.90 90.00
With the nearest neighbours (Å) after each atom.
Sites, in units of the cell vectors:
Al 0.6435 0.1250 0.2500  2 Ru 2.43, 2 Mo 2.60
Al 0.1065 0.6250 0.2500  2 Ru 2.43, 2 Mo 2.60
Al 0.8750 0.8935 0.7500  2 Ru 2.43, 2 Mo 2.60
Al 0.3750 0.3565 0.7500  2 Ru 2.43, 2 Mo 2.60
Ru 0.0000 0.0000 0.0000  4 Al 2.43, 2 Mo 2.71
Ru 0.7500 0.2500 0.5000  4 Al 2.43, 2 Mo 2.71
Mo 0.5000 0.5000 0.0000  4 Al 2.60, 2 Ru 2.71
Mo 0.2500 0.7500 0.5000  4 Al 2.60, 2 Ru 2.71

Computed properties:
V   15.9 Å³/atom
E above lowest polymorph   619 meV/atom
ΔH_f (0 K)   0.949 eV per formula unit
Crystal system   tetragonal


Record 2
A plane-wave DFT calculation with GGA-PBE was carried out for a relaxed structure of Sc6GaFe2.

abc: 7.7142 7.7142 7.7142
angles: 106.13 111.26 111.07
With the nearest neighbours (Å) after each atom.
Sites, in units of the cell vectors:
Sc 0.4713 0.2822 0.1891  3 Fe 2.73-2.94, 1 Ga 2.96
Sc 0.2107 0.2347 0.4454  2 Fe 2.59-2.88, 1 Ga 2.85
Sc 0.2107 0.7653 0.9759  2 Fe 2.59-2.88, 1 Ga 2.85
Sc 0.0931 0.2822 0.8109  3 Fe 2.73-2.94, 1 Ga 2.96
Sc 0.7059 0.3897 0.6838  3 Fe 2.59-2.71
Sc 0.7059 0.0221 0.3162  3 Fe 2.59-2.71
Sc 0.7893 0.2347 0.0241  2 Fe 2.59-2.88, 1 Ga 2.85
Sc 0.7893 0.7653 0.5546  2 Fe 2.59-2.88, 1 Ga 2.85
Sc 0.9069 0.7178 0.1891  3 Fe 2.73-2.94, 1 Ga 2.96
Sc 0.5287 0.7178 0.8109  3 Fe 2.73-2.94, 1 Ga 2.96
Sc 0.2941 0.9779 0.6838  3 Fe 2.59-2.71
Sc 0.2941 0.6103 0.3162  3 Fe 2.59-2.71
Ga 0.0000 0.5000 0.5000  12 Sc 3.07-3.31
Ga 0.0000 0.0000 0.0000  8 Sc 2.85-2.96
Fe 0.3729 0.0000 0.3729  1 Fe 2.21
Fe 0.6271 0.0000 0.6271  1 Fe 2.21
Fe 0.5000 0.6156 0.1156  1 Fe 2.14
Fe 0.5000 0.3844 0.8844  1 Fe 2.14

Computed properties:
V   19.6 Å³/atom
ΔH_f (0 K)   -2.287 eV per formula unit
Crystal system   orthorhombic


Record 3
A plane-wave DFT calculation with GGA-PBE was carried out for a relaxed structure of Sm12Er7Th.

abc: 6.1796 11.5103 11.5103
angles: 116.87 100.31 100.31
With the nearest neighbours (Å) after each atom.
Sites, in units of the cell vectors:
Sm 0.0848 0.1744 0.5874  2 Er 3.36-3.37, 5 Sm 3.40-3.62
Sm 0.5026 0.5874 0.4130  2 Er 3.36-3.37, 5 Sm 3.40-3.62
Sm 0.3930 0.0017 0.3550  4 Er 3.29-3.57, 3 Sm 3.38-3.62
Sm 0.0380 0.6450 0.6467  4 Er 3.29-3.57, 3 Sm 3.38-3.62
Sm 0.9620 0.3550 0.3533  4 Er 3.29-3.57, 3 Sm 3.38-3.62
Sm 0.0896 0.5870 0.1744  2 Er 3.36-3.37, 5 Sm 3.40-3.62
Sm 0.9104 0.4130 0.8256  2 Er 3.36-3.37, 5 Sm 3.40-3.62
Sm 0.4974 0.4126 0.5870  2 Er 3.36-3.37, 5 Sm 3.40-3.62
Sm 0.9152 0.8256 0.4126  2 Er 3.36-3.37, 5 Sm 3.40-3.62
Sm 0.6087 0.6467 0.0017  4 Er 3.29-3.57, 3 Sm 3.38-3.62
Sm 0.6070 0.9983 0.6450  4 Er 3.29-3.57, 3 Sm 3.38-3.62
Sm 0.3913 0.3533 0.9983  4 Er 3.29-3.57, 3 Sm 3.38-3.62
Er 0.8509 0.2463 0.9988  1 Th 3.14, 1 Er 3.25, 4 Sm 3.29-3.37
Er 0.3954 0.2474 0.2463  1 Th 3.14, 1 Er 3.25, 4 Sm 3.29-3.37
Er 0.1491 0.7537 0.0012  1 Th 3.14, 1 Er 3.25, 4 Sm 3.29-3.37
Er 0.6046 0.7526 0.7537  1 Th 3.14, 1 Er 3.25, 4 Sm 3.29-3.37
Er 0.8521 0.0012 0.2474  1 Th 3.14, 1 Er 3.25, 4 Sm 3.29-3.37
Er 0.5000 0.0000 0.0000  2 Th 3.09, 6 Er 3.25
Er 0.1479 0.9988 0.7526  1 Th 3.14, 1 Er 3.25, 4 Sm 3.29-3.37
Th 0.0000 0.0000 0.0000  8 Er 3.09-3.14

Computed properties:
V   34.3 Å³/atom
E above lowest polymorph   65 meV/atom
ΔH_f (0 K)   5.943 eV per formula unit
Crystal system   trigonal


Record 4
A plane-wave DFT calculation with GGA-PBE was carried out for a relaxed structure of NaTaSeN2.

abc: 4.0561 4.0561 4.8595
angles: 90.00 90.00 90.00
With the nearest neighbours (Å) after each atom.
Sites, in units of the cell vectors:
Se 0.0000 0.0000 0.5000  2 Na 2.43
Na 0.0000 0.0000 0.0000  4 N 2.03
N 0.0000 0.5000 0.0000  2 Na 2.03
N 0.5000 0.0000 0.0000  2 Na 2.03
Ta 0.5000 0.5000 0.5000  4 Se 2.87, 8 N 3.16

Computed properties:
V   16.0 Å³/atom
Raw formation energy   2.047 eV/atom
E above lowest polymorph   2211 meV/atom
Crystal system   tetragonal


Record 5
A plane-wave DFT calculation with GGA-PBE was carried out for a relaxed structure of PmYHgSb.

abc: 5.3594 5.3594 5.3594
angles: 60.00 60.00 60.00
With the nearest neighbours (Å) after each atom.
Sites, in units of the cell vectors:
Pm 0.2500 0.2500 0.2500  4 Sb 3.28, 4 Hg 3.28
Hg 0.5000 0.5000 0.5000  4 Y 3.28, 4 Pm 3.28
Y 0.7500 0.7500 0.7500  4 Hg 3.28, 4 Sb 3.28
Sb 0.0000 0.0000 0.0000  4 Pm 3.28, 4 Y 3.28

Computed properties:
V   27.2 Å³/atom
Raw formation energy   -0.647 eV/atom
Crystal system   cubic


Record 6
A plane-wave DFT calculation with GGA-PBE was carried out for a relaxed structure of Nd2TmTe2Se2.

abc: 5.2387 5.2387 8.8296
angles: 107.26 107.26 90.00
With the nearest neighbours (Å) after each atom.
Sites, in units of the cell vectors:
Se 0.5000 0.0000 0.0000  2 Tm 2.62
Se 0.0000 0.5000 0.0000  2 Tm 2.62
Tm 0.0000 0.0000 0.0000  4 Se 2.62
Te 0.8146 0.8146 0.6291  1 Tm 2.97, 1 Nd 3.14
Te 0.1854 0.1854 0.3709  1 Tm 2.97, 1 Nd 3.14
Nd 0.6185 0.6185 0.2371  1 Te 3.14, 4 Se 3.24
Nd 0.3815 0.3815 0.7629  1 Te 3.14, 4 Se 3.24

Computed properties:
V   31.4 Å³/atom
Raw formation energy   -1.356 eV/atom
Crystal system   tetragonal


Record 7
A plane-wave DFT calculation with GGA-PBE was carried out for a relaxed structure of CuBr2Cl.

abc: 3.4044 3.4062 7.5115
angles: 90.00 90.00 90.00
With the nearest neighbours (Å) after each atom.
Sites, in units of the cell vectors:
Cu 0.5000 0.5000 0.7500  8 Br 2.83
Br 0.0000 0.0000 0.5513  4 Cu 2.83, 1 Br 2.98
Br 0.0000 0.0000 0.9487  4 Cu 2.83, 1 Br 2.98
Cl 0.5000 0.5000 0.2500  8 Br 3.30, 4 Cl 3.40-3.41

Computed properties:
V   21.8 Å³/atom
Raw formation energy   0.364 eV/atom
E above lowest polymorph   602 meV/atom
Crystal system   tetragonal


Record 8
A plane-wave DFT calculation with GGA-PBE was carried out for a relaxed structure of AlInPt2.

abc: 4.1166 4.1166 5.4667
angles: 67.88 67.88 60.00
With the nearest neighbours (Å) after each atom.
Sites, in units of the cell vectors:
Pt 0.2705 0.2705 0.1886  3 Al 2.61, 3 In 2.90
Pt 0.0608 0.0608 0.8177  3 Al 2.49, 3 In 2.78
In 0.4918 0.4918 0.5246  1 Al 2.74, 6 Pt 2.78-2.90
Al 0.6770 0.6770 0.9690  6 Pt 2.49-2.61, 1 In 2.74

Computed properties:
V   18.1 Å³/atom
ΔH_f (0 K)   -2.561 eV per formula unit
Crystal system   trigonal


Record 9
A plane-wave DFT calculation with GGA-PBE was carried out for a relaxed structure of SmZn3Ag3.

abc: 8.5529 8.5529 8.5529
angles: 60.00 60.00 60.00
With the nearest neighbours (Å) after each atom.
Sites, in units of the cell vectors:
Ag 0.3410 0.6590 0.3410  1 Zn 2.35
Ag 0.6590 0.3410 0.6590  1 Zn 2.35
Ag 0.3410 0.6590 0.6590  1 Zn 2.35
Ag 0.6590 0.3410 0.3410  1 Zn 2.35
Ag 0.3410 0.3410 0.6590  1 Zn 2.35
Ag 0.6590 0.6590 0.3410  1 Zn 2.35
Sm 0.7500 0.7500 0.7500  12 Ag 4.42, 12 Zn 4.45
Sm 0.2500 0.2500 0.2500  12 Ag 4.42, 12 Zn 4.45
Zn 0.8531 0.8531 0.1469  1 Ag 2.35, 4 Zn 2.51
Zn 0.1469 0.8531 0.1469  1 Ag 2.35, 4 Zn 2.51
Zn 0.1469 0.8531 0.8531  1 Ag 2.35, 4 Zn 2.51
Zn 0.1469 0.1469 0.8531  1 Ag 2.35, 4 Zn 2.51
Zn 0.8531 0.1469 0.8531  1 Ag 2.35, 4 Zn 2.51
Zn 0.8531 0.1469 0.1469  1 Ag 2.35, 4 Zn 2.51

Computed properties:
V   31.6 Å³/atom
ΔH_f (0 K)   5.092 eV per formula unit
Crystal system   cubic


Record 10
A plane-wave DFT calculation with GGA-PBE was carried out for a relaxed structure of ScFeTc2.

abc: 3.1051 3.1051 6.3357
angles: 90.00 90.00 90.00
With the nearest neighbours (Å) after each atom.
Sites, in units of the cell vectors:
Tc 0.5000 0.5000 0.2522  4 Tc 2.62, 4 Fe 2.63
Tc 0.0000 0.0000 0.0272  4 Tc 2.62, 4 Sc 2.85, 1 Fe 2.87
Sc 0.5000 0.5000 0.7407  4 Fe 2.75, 4 Tc 2.85
Fe 0.0000 0.0000 0.4800  5 Tc 2.63-2.87, 4 Sc 2.75

Computed properties:
V   15.3 Å³/atom
E above lowest polymorph   20 meV/atom
ΔH_f (0 K)   -0.100 eV per formula unit
Crystal system   tetragonal


Record 11
A plane-wave DFT calculation with GGA-PBE was carried out for a relaxed structure of CsInGe.

abc: 12.9741 6.5053 7.3006
angles: 90.00 90.00 90.00
With the nearest neighbours (Å) after each atom.
Sites, in units of the cell vectors:
In 0.0000 0.0000 0.0000  2 Ge 2.60
In 0.0000 0.5000 0.0000  2 Ge 2.60
In 0.5000 0.0000 0.5000  2 Ge 2.60
In 0.5000 0.5000 0.5000  2 Ge 2.60
Ge 0.5888 0.7500 0.7285  2 In 2.60
Ge 0.0888 0.7500 0.7715  2 In 2.60
Ge 0.9112 0.2500 0.2285  2 In 2.60
Ge 0.4112 0.2500 0.2715  2 In 2.60
Cs 0.6572 0.2500 0.9696  4 Ge 3.80-3.88
Cs 0.1572 0.2500 0.5304  4 Ge 3.80-3.88
Cs 0.3428 0.7500 0.0304  4 Ge 3.80-3.88
Cs 0.8428 0.7500 0.4696  4 Ge 3.80-3.88

Computed properties:
V   51.3 Å³/atom
ΔH_f (0 K)   0.084 eV per formula unit
Crystal system   orthorhombic


Record 12
A plane-wave DFT calculation with GGA-PBE was carried out for a relaxed structure of BaNiS.

abc: 4.4421 4.4421 8.4564
angles: 90.00 90.00 90.00
With the nearest neighbours (Å) after each atom.
Sites, in units of the cell vectors:
Ba 0.5000 0.0000 0.2200  1 Ni 3.07, 4 S 3.25
Ba 0.0000 0.5000 0.7800  1 Ni 3.07, 4 S 3.25
Ni 0.5000 0.0000 0.5826  4 S 2.33
Ni 0.0000 0.5000 0.4174  4 S 2.33
S 0.0000 0.0000 0.5000  4 Ni 2.33
S 0.5000 0.5000 0.5000  4 Ni 2.33

Computed properties:
V   27.8 Å³/atom
Raw formation energy   -0.583 eV/atom
Crystal system   tetragonal


Record 13
A plane-wave DFT calculation with GGA-PBE was carried out for a relaxed structure of Tl3Zn.

abc: 9.9283 9.9283 9.9283
angles: 21.06 21.06 21.06
With the nearest neighbours (Å) after each atom.
Sites, in units of the cell vectors:
Tl 0.7397 0.7397 0.7397  3 Zn 2.98
Tl 0.5000 0.5000 0.5000  12 Tl 3.44-3.63
Tl 0.2603 0.2603 0.2603  3 Zn 2.98
Zn 0.0000 0.0000 0.0000  6 Tl 2.98

Computed properties:
V   27.7 Å³/atom
ΔH_f (0 K)   0.385 eV per formula unit
Crystal system   trigonal


Record 14
A plane-wave DFT calculation with GGA-PBE was carried out for a relaxed structure of Pm5Zn4Co.

abc: 3.5998 3.5998 18.3181
angles: 90.00 90.00 90.00
With the nearest neighbours (Å) after each atom.
Sites, in units of the cell vectors:
Zn 0.0000 0.0000 0.6020  8 Pm 3.15-3.16
Zn 0.0000 0.0000 0.8042  8 Pm 3.14-3.20
Zn 0.0000 0.0000 0.3980  8 Pm 3.15-3.16
Zn 0.0000 0.0000 0.1958  8 Pm 3.14-3.20
Pm 0.5000 0.5000 0.9096  4 Co 3.04, 4 Zn 3.20, 1 Pm 3.31
Pm 0.5000 0.5000 0.5000  8 Zn 3.16
Pm 0.5000 0.5000 0.0904  4 Co 3.04, 4 Zn 3.20, 1 Pm 3.31
Pm 0.5000 0.5000 0.2965  8 Zn 3.14-3.15
Pm 0.5000 0.5000 0.7035  8 Zn 3.14-3.15
Co 0.0000 0.0000 0.0000  8 Pm 3.04

Computed properties:
V   23.7 Å³/atom
ΔH_f (0 K)   -2.484 eV per formula unit
Crystal system   tetragonal


Record 15
A plane-wave DFT calculation with GGA-PBE was carried out for a relaxed structure of AuIBr2.

abc: 6.2007 7.2400 16.8278
angles: 90.00 90.00 90.95
With the nearest neighbours (Å) after each atom.
Sites, in units of the cell vectors:
Au 0.4895 0.1778 0.3833  2 Br 2.40-2.47
Au 0.9895 0.6778 0.1167  2 Br 2.40-2.47
Au 0.3237 0.3211 0.8826  2 Br 2.40-2.46
Au 0.8237 0.8211 0.6174  2 Br 2.40-2.46
Br 0.0047 0.5274 0.6436  1 Au 2.46
Br 0.5047 0.0274 0.8564  1 Au 2.46
Br 0.6825 0.4784 0.3830  1 Au 2.47
Br 0.1863 0.6218 0.9103  1 Au 2.40
Br 0.3355 0.8716 0.3772  1 Au 2.40
Br 0.6863 0.1218 0.5897  1 Au 2.40
Br 0.8355 0.3716 0.1228  1 Au 2.40
Br 0.1825 0.9784 0.1170  1 Au 2.47
I 0.5746 0.8016 0.1205  1 Au 2.74, 1 Br 2.77
I 0.9035 0.2002 0.8704  1 Au 2.74, 1 Br 2.76
I 0.4035 0.7002 0.6296  1 Au 2.74, 1 Br 2.76
I 0.0746 0.3016 0.3795  1 Au 2.74, 1 Br 2.77

Computed properties:
V   47.2 Å³/atom
Raw formation energy   -0.025 eV/atom
E above lowest polymorph   34 meV/atom
Crystal system   monoclinic


Record 16
A plane-wave DFT calculation with GGA-PBE was carried out for a relaxed structure of K2CdSi2Se6.

abc: 7.3185 7.3185 8.9622
angles: 65.90 65.90 60.00
With the nearest neighbours (Å) after each atom.
Sites, in units of the cell vectors:
Se 0.7537 0.7537 0.2578  1 Si 2.20
Se 0.2463 0.7651 0.7422  1 Si 2.20
Se 0.7537 0.2349 0.2578  1 Si 2.20
Se 0.2349 0.7537 0.2578  1 Si 2.20
Se 0.2463 0.2463 0.7422  1 Si 2.20
Se 0.7651 0.2463 0.7422  1 Si 2.20
Cd 0.0000 0.0000 0.0000  6 Se 2.88
K 0.7786 0.7786 0.6641  9 Se 3.71-3.80
K 0.2214 0.2214 0.3359  9 Se 3.71-3.80
Si 0.4124 0.4124 0.7629  3 Se 2.20
Si 0.5876 0.5876 0.2371  3 Se 2.20

Computed properties:
V   33.3 Å³/atom
Raw formation energy   -0.559 eV/atom
Crystal system   trigonal


Record 17
A plane-wave DFT calculation with GGA-PBE was carried out for a relaxed structure of CsRbNF2.

abc: 5.4493 5.4493 5.1213
angles: 90.00 90.00 90.00
With the nearest neighbours (Å) after each atom.
Sites, in units of the cell vectors:
F 0.5000 0.0000 0.0000  2 Cs 2.72
F 0.0000 0.5000 0.0000  2 Cs 2.72
N 0.0000 0.0000 0.5000  2 Cs 2.56
Rb 0.5000 0.5000 0.5000  8 F 3.74, 4 N 3.85
Cs 0.0000 0.0000 0.0000  2 N 2.56, 4 F 2.72

Computed properties:
V   30.4 Å³/atom
Raw formation energy   -0.657 eV/atom
E above lowest polymorph   164 meV/atom
Crystal system   tetragonal